1.
La2BeSb | PBE-GGA | optimized geometry

Structure (extended XYZ):
```
4
Lattice="4.5172 0.0000 0.0000 0.0000 4.5172 0.0000 0.0000 0.0000 6.3619" Properties=species:S:1:pos:R:3 pbc="T T T"
La 0.0000 0.0000 0.0000
La 2.2586 2.2586 3.1769
Be 2.2586 2.2586 6.3554
Sb 0.0000 0.0000 3.1820
```

Results
E_tot = -4.6604 eV per atom
energy above the lowest structure with this stoichiometry = 0.270 eV per atom

---

2.
La2BeSb2 | PBE-GGA | optimized geometry

Structure (extended XYZ):
```
10
Lattice="7.8070 0.0000 0.0000 0.0000 7.8070 0.0000 0.0000 0.0000 4.5973" Properties=species:S:1:pos:R:3 pbc="T T T"
La 1.2208 2.6827 0.0000
La 2.6827 6.5862 0.0000
La 5.1242 1.2208 0.0000
La 6.5862 5.1242 0.0000
Be 0.0000 0.0000 2.2987
Be 3.9035 3.9035 2.2987
Sb 1.2373 5.1408 2.2987
Sb 2.6661 1.2373 2.2987
Sb 5.1408 6.5696 2.2987
Sb 6.5696 2.6661 2.2987
```

Results
E_tot = -4.8947 eV per atom

---

3.
LaBeSb2 | PBE-GGA | optimized geometry

Structure (extended XYZ):
```
4
Lattice="3.3348 -3.3389 0.0000 3.3348 3.3389 0.0000 0.0000 0.0000 4.4374" Properties=species:S:1:pos:R:3 pbc="T T T"
La 0.0000 0.0000 0.0000
Be 3.3348 0.0000 0.0000
Sb 1.6674 1.6695 2.2187
Sb 1.6674 -1.6695 2.2187
```

Results
E_tot = -4.4572 eV per atom
energy above the lowest structure with this stoichiometry = 0.230 eV per atom

---

4.
La4BeSb | PBE-GGA | optimized geometry

Structure (extended XYZ):
```
6
Lattice="0.0000 4.5178 4.5178 4.5178 0.0000 4.5178 4.5178 4.5178 0.0000" Properties=species:S:1:pos:R:3 pbc="T T T"
La 1.1221 1.1221 1.1221
La 3.3957 3.3957 1.1221
La 3.3957 1.1221 3.3957
La 1.1221 3.3957 3.3957
Be 4.5178 4.5178 4.5178
Sb 6.7768 6.7768 6.7768
```

Results
E_tot = -4.2301 eV per atom

---

5.
LaBeSb2 | PBE-GGA | optimized geometry

Structure (extended XYZ):
```
4
Lattice="4.5536 0.0000 0.0000 0.0000 4.1972 0.0000 -1.8225 0.0000 5.9285" Properties=species:S:1:pos:R:3 pbc="T T T"
La 0.0000 0.0000 0.0000
Be 2.2392 2.0986 1.3181
Sb 0.4688 2.0986 4.8110
Sb 2.2230 0.0000 2.5602
```

Results
E_tot = -4.5337 eV per atom
energy above the lowest structure with this stoichiometry = 0.154 eV per atom

---

6.
LaBeSb2 | PBE-GGA | optimized geometry

Structure (extended XYZ):
```
4
Lattice="-2.2714 2.2775 4.8623 2.2714 -2.2775 4.8623 2.2714 2.2775 -4.8623" Properties=species:S:1:pos:R:3 pbc="T T T"
La 0.0000 0.0000 0.0000
Be 0.0000 0.0000 4.8623
Sb 2.2714 0.0000 2.4337
Sb 0.0000 2.2775 2.4286
```

Results
E_tot = -4.4037 eV per atom
energy above the lowest structure with this stoichiometry = 0.283 eV per atom

---

no.,formation energy (no corrections) (eV/atom)
1,-0.2345
2,-0.5296
3,-0.2326
4,0.3630
5,-0.3091
6,-0.1791